The following is a DFT calculation (PBE) of a relaxed structure of Y3TeRh.

Mass density: 5.7 g/cm³
Raw total energy: -6.80 eV per atom
Raw formation energy: -0.827 eV per atom

a = 16.889 Å, b = 4.230 Å, c = 9.604 Å
α = 90.00°, β = 122.12°, γ = 90.00°
Space group C2/m (No. 12)
Symmetry-distinct sites (fractional):
Y: 0.038 0.000 0.202 (multiplicity 4)
Y: 0.157 0.500 0.860 (multiplicity 4)
Y: 0.229 0.500 0.292 (multiplicity 4)
Te: 0.115 0.500 0.479 (multiplicity 4)
Rh: 0.151 0.000 0.055 (multiplicity 4)